[1]
Compound: SrAcGeCl
Source: Alexandria
Functional: PBE
Structure: relaxed

a = 5.4742 Å, b = 5.4742 Å, c = 5.4742 Å
α = 60.00°, β = 60.00°, γ = 60.00°
Atoms (fractional coordinates):
1 Sr 0.0000 0.0000 0.0000
2 Ac 0.5000 0.5000 0.5000
3 Ge 0.7500 0.7500 0.7500
4 Cl 0.2500 0.2500 0.2500

Results
calculated total energy	-4.17	eV/atom
calculated volume	116.0	Å³ per cell

[2]
Compound: AcCd3Sn3
Source: Alexandria
Functional: PBE
Structure: relaxed

a = 7.8222 Å, b = 7.8222 Å, c = 7.8222 Å
α = 90.00°, β = 90.00°, γ = 90.00°
Atoms (fractional coordinates):
1 Ac 0.5000 0.5000 0.5000
2 Ac 0.0000 0.0000 0.0000
3 Sn 0.2500 0.0000 0.5000
4 Sn 0.0000 0.5000 0.2500
5 Sn 0.5000 0.7500 0.0000
6 Sn 0.7500 0.0000 0.5000
7 Sn 0.0000 0.5000 0.7500
8 Sn 0.5000 0.2500 0.0000
9 Cd 0.0000 0.2500 0.5000
10 Cd 0.0000 0.7500 0.5000
11 Cd 0.5000 0.0000 0.7500
12 Cd 0.7500 0.5000 0.0000
13 Cd 0.5000 0.0000 0.2500
14 Cd 0.2500 0.5000 0.0000

Results
formation energy from the elements	0.175	eV/atom
calculated volume	478.6	Å³ per cell

[3]
Compound: CsCu2ReN
Source: Alexandria
Functional: PBE
Structure: relaxed

a = 4.9597 Å, b = 4.2261 Å, c = 4.9597 Å
α = 90.00°, β = 90.00°, γ = 90.00°
Site moments in Bohr magnetons follow the coordinates.
Atoms (fractional coordinates):
1 Cs 0.0000 0.0000 0.0000  -0.03
2 Re 0.5000 0.5000 0.5000  3.28
3 Cu 0.0000 0.0000 0.5000  -0.02
4 Cu 0.5000 0.0000 0.0000  0.03
5 N 0.0000 0.5000 0.0000  0.15

Results
calculated total energy	-2.90	eV/atom
calculated volume	104.0	Å³ per cell

[4]
Compound: Li4AcSn2
Source: Alexandria
Functional: PBE
Structure: relaxed

a = 4.7709 Å, b = 8.3990 Å, c = 8.3990 Å
α = 90.00°, β = 90.00°, γ = 90.00°
Atoms (fractional coordinates):
1 Li 0.0000 0.1008 0.3475
2 Li 0.0000 0.8992 0.6525
3 Li 0.5000 0.1525 0.6008
4 Li 0.5000 0.8475 0.3992
5 Li 0.5000 0.3992 0.8475
6 Li 0.5000 0.6008 0.1525
7 Li 0.0000 0.3475 0.1008
8 Li 0.0000 0.6525 0.8992
9 Ac 0.5000 0.0000 0.0000
10 Ac 0.0000 0.5000 0.5000
11 Sn 0.0000 0.2134 0.7866
12 Sn 0.0000 0.7866 0.2134
13 Sn 0.5000 0.7134 0.7134
14 Sn 0.5000 0.2866 0.2866

Results
formation energy from the elements	-0.466	eV/atom
calculated volume	336.6	Å³ per cell

[5]
Compound: SnBiS3
Source: Alexandria
Functional: PBE
Structure: relaxed

a = 3.7047 Å, b = 8.2406 Å, c = 7.6140 Å
α = 122.76°, β = 90.00°, γ = 90.00°
Atoms (fractional coordinates):
1 Sn 0.0000 0.5808 0.1616
2 Bi 0.5000 0.9349 0.8698
3 S 0.5000 0.7462 0.0756
4 S 0.5000 0.3294 0.0756
5 S 0.0000 0.7807 0.5613

Results
calculated total energy	-4.21	eV/atom
calculated volume	195.5	Å³ per cell

[6]
Compound: YAsF3
Source: Alexandria
Functional: PBE
Structure: relaxed

a = 4.5098 Å, b = 4.5098 Å, c = 4.5098 Å
α = 90.00°, β = 90.00°, γ = 90.00°
Site moments in Bohr magnetons follow the coordinates.
Atoms (fractional coordinates):
1 Y 0.0000 0.0000 0.0000  0.00
2 As 0.5000 0.5000 0.5000  1.25
3 F 0.0000 0.5000 0.0000  0.05
4 F 0.0000 0.0000 0.5000  0.09
5 F 0.5000 0.0000 0.0000  0.07

Results
calculated total energy	-5.91	eV/atom
calculated volume	91.7	Å³ per cell

[7]
Compound: MgP2C
Source: Alexandria
Functional: PBE
Structure: relaxed

a = 5.6013 Å, b = 5.6013 Å, c = 5.5064 Å
α = 59.43°, β = 59.43°, γ = 90.00°
Atoms (fractional coordinates):
1 P 0.5299 0.1250 0.2500
2 P 0.2201 0.6250 0.2500
3 P 0.3750 0.4701 0.7500
4 P 0.8750 0.7799 0.7500
5 Mg 0.0000 0.0000 0.0000
6 Mg 0.7500 0.2500 0.5000
7 C 0.5000 0.5000 0.0000
8 C 0.2500 0.7500 0.5000

Results
formation energy from the elements	0.160	eV/atom
calculated volume	120.0	Å³ per cell

[8]
Compound: CaHo5Mg6
Source: Alexandria
Functional: PBE
Structure: relaxed

a = 5.4052 Å, b = 7.5459 Å, c = 8.5496 Å
α = 90.00°, β = 71.57°, γ = 90.00°
Atoms (fractional coordinates):
1 Mg 0.8319 0.7467 0.3363
2 Mg 0.8318 0.2533 0.3363
3 Mg 0.5000 0.2544 0.0000
4 Mg 0.5000 0.7456 0.0000
5 Mg 0.1682 0.7467 0.6637
6 Mg 0.1681 0.2533 0.6637
7 Ca 0.0000 0.0000 0.0000
8 Ho 0.6659 0.5000 0.6682
9 Ho 0.3307 0.0000 0.3386
10 Ho 0.0000 0.5000 0.0000
11 Ho 0.6693 0.0000 0.6614
12 Ho 0.3341 0.5000 0.3318

Results
formation energy from the elements	-0.063	eV/atom
calculated volume	330.8	Å³ per cell

[9]
Compound: SmDy2Al
Source: Alexandria
Functional: PBE
Structure: relaxed

a = 3.5221 Å, b = 3.5221 Å, c = 9.0802 Å
α = 90.00°, β = 90.00°, γ = 90.00°
Atoms (fractional coordinates):
1 Al 0.5000 0.5000 0.0000
2 Sm 0.5000 0.5000 0.5000
3 Dy 0.0000 0.0000 0.7887
4 Dy 0.0000 0.0000 0.2113

Results
formation energy from the elements	-0.191	eV/atom
calculated volume	112.6	Å³ per cell

[10]
Compound: La2Tb5Sm3
Source: Alexandria
Functional: PBE
Structure: relaxed

a = 6.8679 Å, b = 12.4056 Å, c = 12.4056 Å
α = 45.26°, β = 73.93°, γ = 73.93°
Atoms (fractional coordinates):
1 La 0.1238 0.7664 0.9860
2 La 0.8762 0.2336 0.0140
3 La 0.6238 0.9860 0.7664
4 La 0.3762 0.0140 0.2336
5 Tb 0.2500 0.5000 0.5000
6 Tb 0.7500 0.5000 0.5000
7 Tb 0.5007 0.7493 0.7493
8 Tb 0.9993 0.2507 0.2507
9 Tb 0.4993 0.2507 0.2507
10 Tb 0.0007 0.7493 0.7493
11 Tb 0.1256 0.4600 0.2888
12 Tb 0.8744 0.5400 0.7112
13 Tb 0.6256 0.2888 0.4600
14 Tb 0.3744 0.7112 0.5400
15 Sm 0.2500 0.0000 0.0000
16 Sm 0.7500 0.0000 0.0000
17 Sm 0.3720 0.3795 0.8765
18 Sm 0.6280 0.6205 0.1235
19 Sm 0.8720 0.8765 0.3795
20 Sm 0.1280 0.1235 0.6205

Results
formation energy from the elements	0.380	eV/atom
calculated volume	716.2	Å³ per cell

[11]
Compound: Ca2AcF7
Source: Alexandria
Functional: PBE
Structure: relaxed

a = 3.9358 Å, b = 3.9358 Å, c = 9.3833 Å
α = 102.11°, β = 102.11°, γ = 90.00°
Atoms (fractional coordinates):
1 Ca 0.6733 0.6733 0.3467
2 Ca 0.3267 0.3267 0.6533
3 Ac 0.0000 0.0000 0.0000
4 F 0.0985 0.5985 0.1970
5 F 0.4015 0.9015 0.8030
6 F 0.5985 0.0985 0.1970
7 F 0.5000 0.5000 0.0000
8 F 0.7500 0.2500 0.5000
9 F 0.9015 0.4015 0.8030
10 F 0.2500 0.7500 0.5000

Results
calculated total energy	-6.13	eV/atom
calculated volume	138.8	Å³ per cell

[12]
Compound: Hg2PCl
Source: Alexandria
Functional: PBE
Structure: relaxed

a = 8.2491 Å, b = 6.2554 Å, c = 3.1968 Å
α = 61.70°, β = 109.36°, γ = 138.08°
Atoms (fractional coordinates):
1 Cl 0.5000 0.5000 0.0000
2 Hg 0.0000 0.0000 0.0000
3 Hg 0.5000 0.0000 0.5000
4 P 0.0000 0.5000 0.5000

Results
calculated total energy	-1.82	eV/atom
calculated volume	97.0	Å³ per cell

[13]
Compound: InOsW3
Source: Alexandria
Functional: PBE
Structure: relaxed

a = 4.7814 Å, b = 4.7814 Å, c = 4.7814 Å
α = 90.00°, β = 90.00°, γ = 90.00°
Atoms (fractional coordinates):
1 Os 0.0000 0.0000 0.0000
2 W 0.0000 0.5000 0.0000
3 W 0.0000 0.0000 0.5000
4 W 0.5000 0.0000 0.0000
5 In 0.5000 0.5000 0.5000

Results
formation energy from the elements	1.813	eV/atom
calculated volume	109.3	Å³ per cell

[14]
Compound: VInIr3
Source: Alexandria
Functional: PBE
Structure: relaxed

a = 4.8164 Å, b = 4.8164 Å, c = 4.8164 Å
α = 90.00°, β = 90.00°, γ = 90.00°
Site moments in Bohr magnetons follow the coordinates.
Atoms (fractional coordinates):
1 Ir 0.0000 0.5000 0.0000  -0.64
2 Ir 0.0000 0.0000 0.5000  -0.64
3 Ir 0.5000 0.0000 0.0000  -0.64
4 In 0.0000 0.0000 0.0000  0.01
5 V 0.5000 0.5000 0.5000  2.57

Results
formation energy from the elements	2.057	eV/atom
calculated volume	111.7	Å³ per cell

[15]
Compound: Sr2TmGe3Au12
Source: Alexandria
Functional: PBE
Structure: relaxed

a = 8.0529 Å, b = 8.0529 Å, c = 8.0529 Å
α = 70.62°, β = 70.62°, γ = 70.62°
Atoms (fractional coordinates):
1 Sr 0.6019 0.6019 0.6019
2 Sr 0.3981 0.3981 0.3981
3 Tm 0.0000 0.0000 0.0000
4 Ge 0.5000 0.0000 0.0000
5 Ge 0.0000 0.5000 0.0000
6 Ge 0.0000 0.0000 0.5000
7 Au 0.3109 0.3109 0.8414
8 Au 0.8517 0.8517 0.3693
9 Au 0.3693 0.8517 0.8517
10 Au 0.8414 0.3109 0.3109
11 Au 0.8517 0.3693 0.8517
12 Au 0.3109 0.8414 0.3109
13 Au 0.6891 0.6891 0.1586
14 Au 0.1483 0.1483 0.6307
15 Au 0.6307 0.1483 0.1483
16 Au 0.1586 0.6891 0.6891
17 Au 0.1483 0.6307 0.1483
18 Au 0.6891 0.1586 0.6891

Results
formation energy from the elements	-0.157	eV/atom
calculated volume	450.1	Å³ per cell

[16]
Compound: Ta2Be3B
Source: Alexandria
Functional: PBE
Structure: relaxed

a = 4.6844 Å, b = 4.6844 Å, c = 6.6715 Å
α = 109.81°, β = 109.81°, γ = 91.99°
Atoms (fractional coordinates):
1 Ta 0.2500 0.7500 0.5000
2 Ta 0.7462 0.7462 0.0000
3 Ta 0.7500 0.2500 0.5000
4 Ta 0.2538 0.2538 0.0000
5 Be 0.6596 0.1689 0.8285
6 Be 0.8311 0.3404 0.1715
7 Be 0.3404 0.8311 0.1715
8 Be 0.1689 0.6596 0.8285
9 Be 0.8299 0.8299 0.6597
10 Be 0.1701 0.1701 0.3403
11 B 0.3324 0.3324 0.6648
12 B 0.6676 0.6676 0.3352

Results
formation energy from the elements	-0.414	eV/atom
calculated volume	127.7	Å³ per cell

[17]
Compound: Ce2CoTe
Source: Alexandria
Functional: PBE
Structure: relaxed

a = 4.0051 Å, b = 4.0051 Å, c = 7.8936 Å
α = 75.30°, β = 75.30°, γ = 60.00°
Site moments in Bohr magnetons follow the coordinates.
Atoms (fractional coordinates):
1 Ce 0.0654 0.0654 0.8037  0.52
2 Ce 0.2669 0.2669 0.1994  0.61
3 Co 0.6685 0.6685 0.9946  -0.23
4 Te 0.4992 0.4992 0.5023  -0.02

Results
calculated total energy	-6.17	eV/atom
calculated volume	104.8	Å³ per cell

[18]
Compound: Dy3Er8Sc
Source: Alexandria
Functional: PBE
Structure: relaxed

a = 7.5633 Å, b = 7.5633 Å, c = 9.2803 Å
α = 114.05°, β = 114.05°, γ = 90.00°
Atoms (fractional coordinates):
1 Dy 0.2500 0.7500 0.5000
2 Dy 0.5000 0.5000 0.0000
3 Dy 0.7500 0.2500 0.5000
4 Er 0.8767 0.3682 0.2450
5 Er 0.3682 0.3682 0.2450
6 Er 0.1233 0.1233 0.7550
7 Er 0.6318 0.1233 0.7550
8 Er 0.3682 0.8767 0.2450
9 Er 0.8767 0.8767 0.2450
10 Er 0.6318 0.6318 0.7550
11 Er 0.1233 0.6318 0.7550
12 Sc 0.0000 0.0000 0.0000

Results
formation energy from the elements	0.723	eV/atom
calculated volume	433.9	Å³ per cell

[19]
Compound: SrCaMo
Source: Alexandria
Functional: PBE
Structure: relaxed

a = 5.4660 Å, b = 5.4660 Å, c = 5.4660 Å
α = 60.00°, β = 60.00°, γ = 60.00°
Site moments in Bohr magnetons follow the coordinates.
Atoms (fractional coordinates):
1 Sr 0.0000 0.0000 0.0000  0.04
2 Mo 0.7500 0.7500 0.7500  2.98
3 Ca 0.5000 0.5000 0.5000  0.03

Results
formation energy from the elements	1.192	eV/atom
calculated volume	115.5	Å³ per cell

[20]
Compound: Tb6Er2In
Source: Alexandria
Functional: PBE
Structure: relaxed

a = 6.1052 Å, b = 9.7879 Å, c = 9.7879 Å
α = 72.45°, β = 84.50°, γ = 84.50°
Atoms (fractional coordinates):
1 Tb 0.4821 0.6900 0.4134
2 Tb 0.0179 0.5866 0.3100
3 Tb 0.5179 0.3100 0.5866
4 Tb 0.9821 0.4134 0.6900
5 Tb 0.6422 0.0675 0.3538
6 Tb 0.8578 0.6462 0.9325
7 Tb 0.3578 0.9325 0.6462
8 Tb 0.1422 0.3538 0.0675
9 Tb 0.3329 0.7738 0.0180
10 Tb 0.1671 0.9820 0.2262
11 Tb 0.6671 0.2262 0.9820
12 Tb 0.8329 0.0180 0.7738
13 Er 0.4242 0.5703 0.7807
14 Er 0.0758 0.2193 0.4297
15 Er 0.5758 0.4297 0.2193
16 Er 0.9242 0.7807 0.5703
17 In 0.2500 0.1264 0.8736
18 In 0.7500 0.8736 0.1264

Results
formation energy from the elements	-0.033	eV/atom
calculated volume	553.7	Å³ per cell